[1]
SrInBi2 (GGA-PBE, optimized geometry); crystal system = trigonal; density = 6707 kg/m³; formation energy = 0.09 eV/atom
1.0
2.022 1.167 10.848
-2.022 1.167 10.848
0.000 -2.335 10.848
Sr In Bi
1 1 2
Direct
0.000 0.000 0.000
0.500 0.500 0.500
0.104 0.104 0.104
0.896 0.896 0.896


[2]
SrIn2Bi2 (GGA-PBE, optimized geometry); crystal system = tetragonal; density = 7049 kg/m³; formation energy = -0.27 eV/atom; polymorph energy (0 for the lowest one) = 42.8 meV per atom
1.0
-2.337 2.337 7.930
2.337 -2.337 7.930
2.337 2.337 -7.930
Sr In Bi
1 2 2
Direct
0.000 0.000 0.000
0.250 0.750 0.500
0.750 0.250 0.500
0.400 0.400 0.000
0.600 0.600 0.000


[3]
Sr5In2Bi (GGA-PBE, optimized geometry); crystal system = tetragonal; density = 4662 kg/m³; formation energy = -0.51 eV/atom
1.0
-4.419 4.419 7.993
4.419 -4.419 7.993
4.419 4.419 -7.993
Sr In Bi
10 4 2
Direct
0.000 0.000 0.000
0.027 0.527 0.842
0.185 0.027 0.500
0.315 0.815 0.842
0.473 0.315 0.500
0.500 0.500 0.000
0.527 0.685 0.500
0.685 0.185 0.158
0.815 0.973 0.500
0.973 0.473 0.158
0.120 0.380 0.500
0.380 0.880 0.261
0.620 0.120 0.739
0.880 0.620 0.500
0.250 0.250 0.000
0.750 0.750 0.000


[4]
Sr8InBi5 (GGA-PBE, optimized geometry); crystal system = tetragonal; density = 5734 kg/m³; formation energy = -0.79 eV/atom
1.0
-5.139 5.139 5.100
5.139 -5.139 5.100
5.139 5.139 -5.100
Sr In Bi
8 1 5
Direct
0.124 0.718 0.741
0.129 0.240 0.741
0.282 0.024 0.406
0.499 0.388 0.259
0.612 0.871 0.111
0.617 0.876 0.594
0.760 0.501 0.889
0.976 0.383 0.259
0.000 0.000 0.000
0.235 0.618 0.119
0.382 0.501 0.617
0.499 0.116 0.881
0.750 0.250 0.500
0.884 0.765 0.383


[5]
Sr4In5Bi6 (GGA-PBE, optimized geometry); crystal system = orthorhombic; density = 6854 kg/m³; formation energy = -0.42 eV/atom
1.0
2.365 -12.751 0.000
2.365 12.751 0.000
0.000 0.000 17.506
Sr In Bi
8 10 12
Direct
0.010 0.990 0.500
0.047 0.953 0.268
0.138 0.862 0.817
0.184 0.816 0.456
0.816 0.184 0.956
0.862 0.138 0.317
0.953 0.047 0.768
0.990 0.010 0.000
0.155 0.845 0.155
0.302 0.698 0.135
0.317 0.683 0.766
0.362 0.638 0.475
0.448 0.552 0.188
0.552 0.448 0.688
0.638 0.362 0.975
0.683 0.317 0.266
0.698 0.302 0.635
0.845 0.155 0.655
0.115 0.885 0.625
0.212 0.788 0.004
0.264 0.736 0.300
0.402 0.598 0.892
0.442 0.558 0.617
0.459 0.541 0.366
0.541 0.459 0.866
0.558 0.442 0.117
0.598 0.402 0.392
0.736 0.264 0.800
0.788 0.212 0.504
0.885 0.115 0.125


[6]
SrInBi2 (GGA-PBE, optimized geometry); crystal system = monoclinic; density = 7693 kg/m³; formation energy = -0.36 eV/atom
1.0
6.782 0.000 0.000
0.000 5.488 0.000
-0.351 0.000 7.196
Sr In Bi
2 2 4
Direct
0.169 0.250 0.183
0.831 0.750 0.817
0.162 0.250 0.678
0.838 0.750 0.322
0.309 0.750 0.467
0.335 0.750 0.904
0.665 0.250 0.096
0.691 0.250 0.533


[7]
Sr3In2Bi3 (GGA-PBE, optimized geometry); crystal system = orthorhombic; density = 6739 kg/m³; formation energy = -0.54 eV/atom; polymorph energy (0 for the lowest one) = 22.9 meV per atom
1.0
2.695 -6.309 0.000
2.695 6.309 0.000
0.000 0.000 16.223
Sr In Bi
6 4 6
Direct
0.054 0.946 0.750
0.146 0.854 0.033
0.146 0.854 0.467
0.854 0.146 0.533
0.854 0.146 0.967
0.946 0.054 0.250
0.313 0.687 0.653
0.313 0.687 0.847
0.687 0.313 0.153
0.687 0.313 0.347
0.225 0.775 0.250
0.447 0.553 0.090
0.447 0.553 0.410
0.553 0.447 0.590
0.553 0.447 0.910
0.775 0.225 0.750


[8]
SrIn2Bi (GGA-PBE, optimized geometry); crystal system = tetragonal; density = 7109 kg/m³; formation energy = -0.40 eV/atom
1.0
4.868 0.000 0.000
0.000 4.868 0.000
0.000 0.000 5.187
Sr In Bi
1 2 1
Direct
0.000 0.000 0.000
0.000 0.500 0.500
0.500 0.000 0.500
0.500 0.500 0.000


[9]
SrInBi2 (GGA-PBE, optimized geometry); crystal system = tetragonal; density = 8101 kg/m³; formation energy = -0.45 eV/atom
1.0
5.031 0.000 0.000
0.000 5.031 0.000
0.000 0.000 5.025
Sr In Bi
1 1 2
Direct
0.000 0.000 0.000
0.500 0.500 0.000
0.000 0.500 0.500
0.500 0.000 0.500


[10]
Sr2InBi2 (GGA-PBE, optimized geometry); crystal system = monoclinic; density = 5863 kg/m³; formation energy = -0.48 eV/atom; polymorph energy (0 for the lowest one) = 145.9 meV per atom
1.0
7.150 -3.387 0.000
7.150 3.387 0.000
-5.454 0.000 8.282
Sr In Bi
4 2 4
Direct
0.107 0.107 0.363
0.335 0.335 0.952
0.665 0.665 0.048
0.893 0.893 0.637
0.372 0.372 0.333
0.628 0.628 0.667
0.131 0.131 0.045
0.401 0.401 0.660
0.599 0.599 0.340
0.869 0.869 0.955


[11]
Sr4InBi4 (GGA-PBE, optimized geometry); crystal system = tetragonal; density = 6138 kg/m³; formation energy = -0.69 eV/atom
1.0
9.892 0.000 0.000
0.000 9.892 0.000
0.000 0.000 7.195
Sr In Bi
8 2 8
Direct
0.012 0.250 0.049
0.250 0.012 0.549
0.250 0.488 0.549
0.488 0.250 0.049
0.512 0.750 0.951
0.750 0.512 0.451
0.750 0.988 0.451
0.988 0.750 0.951
0.250 0.750 0.250
0.750 0.250 0.750
0.002 0.750 0.475
0.250 0.502 0.025
0.250 0.998 0.025
0.498 0.750 0.475
0.502 0.250 0.525
0.750 0.002 0.975
0.750 0.498 0.975
0.998 0.250 0.525


[12]
SrIn2Bi (GGA-PBE, optimized geometry); crystal system = tetragonal; density = 6407 kg/m³; formation energy = -0.29 eV/atom
1.0
-4.529 4.529 3.324
4.529 -4.529 3.324
4.529 4.529 -3.324
Sr In Bi
2 4 2
Direct
0.000 0.000 0.000
0.750 0.250 0.500
0.158 0.625 0.033
0.375 0.408 0.533
0.592 0.125 0.967
0.875 0.842 0.467
0.250 0.750 0.500
0.500 0.500 0.000


[13]
SrInBi2 (GGA-PBE, optimized geometry); crystal system = tetragonal; density = 8025 kg/m³; formation energy = -0.40 eV/atom
1.0
4.974 0.000 0.000
0.000 4.974 0.000
0.000 0.000 10.379
Sr In Bi
2 2 4
Direct
0.250 0.250 0.243
0.750 0.750 0.757
0.250 0.750 0.500
0.750 0.250 0.500
0.250 0.250 0.713
0.250 0.750 0.000
0.750 0.250 0.000
0.750 0.750 0.287


[14]
Sr2InBi2 (GGA-PBE, optimized geometry); crystal system = tetragonal; density = 5649 kg/m³; formation energy = -0.38 eV/atom; polymorph energy (0 for the lowest one) = 252.9 meV per atom
1.0
-3.347 3.347 4.645
3.347 -3.347 4.645
3.347 3.347 -4.645
Sr In Bi
2 1 2
Direct
0.250 0.750 0.500
0.750 0.250 0.500
0.000 0.000 0.000
0.319 0.319 0.000
0.681 0.681 0.000


[15]
SrIn2Bi (GGA-PBE, optimized geometry); crystal system = orthorhombic; density = 6700 kg/m³; formation energy = -0.33 eV/atom
1.0
4.962 0.000 0.000
0.000 6.764 0.000
0.000 0.000 7.772
Sr In Bi
2 4 2
Direct
0.250 0.250 0.137
0.750 0.750 0.863
0.250 0.015 0.621
0.250 0.485 0.621
0.750 0.515 0.379
0.750 0.985 0.379
0.250 0.750 0.167
0.750 0.250 0.833


[16]
SrIn8Bi6 (GGA-PBE, optimized geometry); crystal system = trigonal; density = 7359 kg/m³; formation energy = -0.07 eV/atom
1.0
4.512 2.605 7.232
-4.512 2.605 7.232
0.000 -5.210 7.232
Sr In Bi
1 8 6
Direct
0.000 0.000 0.000
0.123 0.433 0.796
0.204 0.877 0.567
0.336 0.336 0.336
0.433 0.796 0.123
0.567 0.204 0.877
0.664 0.664 0.664
0.796 0.123 0.433
0.877 0.567 0.204
0.067 0.725 0.424
0.275 0.576 0.933
0.424 0.067 0.725
0.576 0.933 0.275
0.725 0.424 0.067
0.933 0.275 0.576


[17]
SrIn2Bi2 (GGA-PBE, optimized geometry); crystal system = orthorhombic; density = 7760 kg/m³; formation energy = -0.31 eV/atom; polymorph energy (0 for the lowest one) = 0.0 meV per atom
1.0
2.401 -13.887 0.000
2.401 13.887 0.000
0.000 0.000 4.719
Sr In Bi
2 4 4
Direct
0.153 0.847 0.750
0.847 0.153 0.250
0.044 0.956 0.250
0.454 0.546 0.250
0.546 0.454 0.750
0.956 0.044 0.750
0.251 0.749 0.250
0.368 0.632 0.750
0.632 0.368 0.250
0.749 0.251 0.750


[18]
Sr2InBi3 (GGA-PBE, optimized geometry); crystal system = orthorhombic; density = 7028 kg/m³; formation energy = -0.37 eV/atom; polymorph energy (0 for the lowest one) = 178.4 meV per atom
1.0
-1.904 3.388 8.398
1.904 -3.388 8.398
1.904 3.388 -8.398
Sr In Bi
2 1 3
Direct
0.170 0.170 0.000
0.830 0.830 0.000
0.500 0.500 0.000
0.000 0.500 0.500
0.346 0.846 0.500
0.654 0.154 0.500


[19]
Sr2InBi2 (GGA-PBE, optimized geometry); crystal system = tetragonal; density = 6425 kg/m³; formation energy = -0.50 eV/atom; polymorph energy (0 for the lowest one) = 134.3 meV per atom
1.0
9.819 0.000 0.000
0.000 9.819 0.000
0.000 0.000 3.796
Sr In Bi
4 2 4
Direct
0.136 0.364 0.000
0.364 0.864 0.000
0.636 0.136 0.000
0.864 0.636 0.000
0.000 0.000 0.000
0.500 0.500 0.000
0.165 0.665 0.500
0.335 0.165 0.500
0.665 0.835 0.500
0.835 0.335 0.500


[20]
Sr5In2Bi6 (GGA-PBE, optimized geometry); crystal system = orthorhombic; density = 6638 kg/m³; formation energy = -0.67 eV/atom; polymorph energy (0 for the lowest one) = 2.5 meV per atom
1.0
12.982 0.000 0.000
0.000 15.269 0.000
0.000 0.000 4.850
Sr In Bi
10 4 12
Direct
0.000 0.000 0.000
0.088 0.248 0.000
0.170 0.524 0.000
0.330 0.024 0.000
0.412 0.748 0.000
0.500 0.500 0.000
0.588 0.252 0.000
0.670 0.976 0.000
0.830 0.476 0.000
0.912 0.752 0.000
0.167 0.714 0.500
0.333 0.214 0.500
0.667 0.786 0.500
0.833 0.286 0.500
0.031 0.402 0.500
0.152 0.092 0.500
0.166 0.829 0.000
0.334 0.329 0.000
0.348 0.592 0.500
0.469 0.902 0.500
0.531 0.098 0.500
0.652 0.408 0.500
0.666 0.671 0.000
0.834 0.171 0.000
0.848 0.908 0.500
0.969 0.598 0.500


[21]
Sr2InBi4 (GGA-PBE, optimized geometry); crystal system = monoclinic; density = 7605 kg/m³; formation energy = -0.48 eV/atom; polymorph energy (0 for the lowest one) = 0.0 meV per atom
1.0
4.867 -4.866 0.000
4.867 4.866 0.000
-4.851 0.000 5.191
Sr In Bi
2 1 4
Direct
0.000 0.500 0.000
0.500 0.000 0.000
0.000 0.000 0.000
0.000 0.000 0.500
0.000 0.500 0.500
0.500 0.000 0.500
0.500 0.500 0.500